Material: TeMo2Ru
Method: DFT, PBE-GGA
State: relaxed

The value obtained for the calculated volume is 67.1 Å³ per cell. The value obtained for the formation energy without anion corrections is 0.37 eV/atom.

Lattice parameters (Å, degrees): 2.970 4.196 5.581 90.00 105.40 90.00
Space group Pm (No. 6)
Asymmetric unit:
Te 0.000 0.000 0.000 (multiplicity 1)
Mo 0.253 0.000 0.502 (multiplicity 1)
Mo 0.612 0.500 0.225 (multiplicity 1)
Ru 0.859 0.500 0.712 (multiplicity 1)